Material: TaNiGePtAu
Method: DFT, PBE-GGA
State: optimized geometry

relative energy among the computed polymorphs: 47 meV/atom
formation enthalpy at 0 K: -0.185 eV/atom

a = 4.6238 Å, b = 2.8908 Å, c = 6.2636 Å
α = 90.00°, β = 107.22°, γ = 90.00°
Closest atoms and distances in Å follow each position.
Fractional coordinates of all 5 atoms:
Ta: 0.0000 0.0000 0.0000  2 Ni 2.65-2.71, 2 Ge 2.75, 2 Pt 2.84, 4 Au 2.86-2.88, 2 Ta 2.89
Ni: 0.5981 0.0000 0.2254  2 Ge 2.60, 2 Ta 2.65-2.71, 2 Pt 2.66, 2 Au 2.67, 2 Ni 2.89
Ge: 0.2429 0.5000 0.3840  2 Pt 2.56-2.68, 2 Ni 2.60, 2 Ta 2.75, 1 Au 2.79
Pt: 0.8405 0.5000 0.5907  2 Ge 2.56-2.68, 2 Ni 2.66, 2 Au 2.78-2.79, 2 Ta 2.84
Au: 0.4430 0.5000 0.8501  2 Ni 2.67, 2 Pt 2.78-2.79, 1 Ge 2.79, 4 Ta 2.86-2.88, 2 Au 2.89

=====

Material: LiCaTlAg
Method: DFT, PBE-GGA
State: optimized geometry

relative energy among the computed polymorphs: 0 meV/atom
formation enthalpy at 0 K: -0.264 eV/atom

a = 5.0187 Å, b = 5.0187 Å, c = 5.0187 Å
α = 60.00°, β = 60.00°, γ = 60.00°
Closest atoms and distances in Å follow each position.
Fractional coordinates of all 4 atoms:
Li: 0.0000 0.0000 0.0000  4 Ca 3.07, 4 Tl 3.07
Ca: 0.7500 0.7500 0.7500  4 Li 3.07, 4 Ag 3.07
Tl: 0.2500 0.2500 0.2500  4 Li 3.07, 4 Ag 3.07
Ag: 0.5000 0.5000 0.5000  4 Ca 3.07, 4 Tl 3.07

=====

Material: HfInHgPd2
Method: DFT, PBE-GGA
State: optimized geometry

formation enthalpy at 0 K: 0.744 eV/atom

a = 4.8905 Å, b = 4.8905 Å, c = 5.0526 Å
α = 90.00°, β = 90.00°, γ = 90.00°
Closest atoms and distances in Å follow each position.
Fractional coordinates of all 5 atoms:
Hf: 0.0000 0.0000 0.0000  4 Hg 3.46, 8 Pd 3.52
In: 0.5000 0.5000 0.5000  4 Pd 2.45, 2 Hg 2.53
Hg: 0.5000 0.5000 0.0000  2 In 2.53
Pd: 0.0000 0.5000 0.5000  2 In 2.45
Pd: 0.5000 0.0000 0.5000  2 In 2.45

=====

Material: Ac3Pm3Ho
Method: DFT, PBE-GGA
State: optimized geometry

formation enthalpy at 0 K: 0.190 eV/atom

a = 13.8902 Å, b = 5.6424 Å, c = 14.0916 Å
α = 90.00°, β = 90.00°, γ = 90.00°
Closest atoms and distances in Å follow each position.
Fractional coordinates of all 28 atoms:
Ac: 0.0901 0.2500 0.0610  5 Pm 3.42-3.62, 1 Ho 3.55
Ac: 0.0945 0.2500 0.5582  6 Pm 3.56-3.82, 1 Ho 3.65
Ac: 0.1873 0.7500 0.3613  6 Pm 3.59-3.91, 1 Ho 3.76
Ac: 0.3127 0.2500 0.8613  6 Pm 3.59-3.91, 1 Ho 3.76
Ac: 0.4055 0.7500 0.0582  6 Pm 3.56-3.82, 1 Ho 3.65
Ac: 0.4099 0.7500 0.5610  5 Pm 3.42-3.62, 1 Ho 3.55
Ac: 0.5901 0.2500 0.4390  5 Pm 3.42-3.62, 1 Ho 3.55
Ac: 0.5945 0.2500 0.9418  6 Pm 3.56-3.82, 1 Ho 3.65
Ac: 0.6873 0.7500 0.1387  6 Pm 3.59-3.91, 1 Ho 3.76
Ac: 0.8127 0.2500 0.6387  6 Pm 3.59-3.91, 1 Ho 3.76
Ac: 0.9055 0.7500 0.4418  6 Pm 3.56-3.82, 1 Ho 3.65
Ac: 0.9099 0.7500 0.9390  5 Pm 3.42-3.62, 1 Ho 3.55
Pm: 0.0356 0.2500 0.3120  1 Pm 3.38, 2 Ho 3.51, 4 Ac 3.56-3.62
Pm: 0.1639 0.7500 0.9342  1 Pm 3.36, 5 Ac 3.49-3.64, 2 Ho 3.68
Pm: 0.2077 0.7500 0.6996  2 Pm 3.36-3.38, 1 Ac 3.42
Pm: 0.2923 0.2500 0.1996  2 Pm 3.36-3.38, 1 Ac 3.42
Pm: 0.3361 0.2500 0.4342  1 Pm 3.36, 5 Ac 3.49-3.64, 2 Ho 3.68
Pm: 0.4644 0.7500 0.8120  1 Pm 3.38, 2 Ho 3.51, 4 Ac 3.56-3.62
Pm: 0.5356 0.2500 0.1880  1 Pm 3.38, 2 Ho 3.51, 4 Ac 3.56-3.62
Pm: 0.6639 0.7500 0.5658  1 Pm 3.36, 5 Ac 3.49-3.64, 2 Ho 3.68
Pm: 0.7077 0.7500 0.8004  2 Pm 3.36-3.38, 1 Ac 3.42
Pm: 0.7923 0.2500 0.3004  2 Pm 3.36-3.38, 1 Ac 3.42
Pm: 0.8361 0.2500 0.0658  1 Pm 3.36, 5 Ac 3.49-3.64, 2 Ho 3.68
Pm: 0.9644 0.7500 0.6880  1 Pm 3.38, 2 Ho 3.51, 4 Ac 3.56-3.62
Ho: 0.0462 0.2500 0.8126  4 Pm 3.51-3.68, 5 Ac 3.55-3.84
Ho: 0.4538 0.7500 0.3126  4 Pm 3.51-3.68, 5 Ac 3.55-3.84
Ho: 0.5462 0.2500 0.6874  4 Pm 3.51-3.68, 5 Ac 3.55-3.84
Ho: 0.9538 0.7500 0.1874  4 Pm 3.51-3.68, 5 Ac 3.55-3.84

=====

Material: Pr2Bi2S7
Method: DFT, PBE-GGA
State: optimized geometry

uncorrected formation energy: -868 meV/atom

a = 8.8336 Å, b = 8.8336 Å, c = 8.8336 Å
α = 153.92°, β = 68.01°, γ = 118.44°
Closest atoms and distances in Å follow each position.
Fractional coordinates of all 11 atoms:
Pr: 0.0000 0.0000 0.0000  7 S 2.88-2.97
Pr: 0.5446 0.0446 0.5000  8 S 2.82-3.01
Bi: 0.4530 0.2059 0.2471  7 S 2.81-2.95
Bi: 0.9588 0.2059 0.7529  7 S 2.81-2.95
S: 0.1868 0.5483 0.6385  2 Pr 2.88, 2 Bi 2.92
S: 0.2399 0.9190 0.3210  3 Bi 2.81-2.95, 1 Pr 2.86
S: 0.3238 0.3238 0.0000  3 Pr 2.82-2.93
S: 0.5980 0.9190 0.6790  3 Bi 2.81-2.95, 1 Pr 2.86
S: 0.6134 0.7220 0.8914  2 Bi 2.91, 3 Pr 2.97-3.01, 1 S 3.18
S: 0.8305 0.7220 0.1086  2 Bi 2.91, 3 Pr 2.97-3.01, 1 S 3.18
S: 0.9098 0.5483 0.3615  2 Pr 2.88, 2 Bi 2.92

=====

Material: AgGeBr5
Method: DFT, PBE-GGA
State: optimized geometry

uncorrected formation energy: -338 meV/atom

a = 8.0267 Å, b = 8.0267 Å, c = 10.1363 Å
α = 110.35°, β = 110.35°, γ = 50.64°
Closest atoms and distances in Å follow each position.
Fractional coordinates of all 14 atoms:
Ag: 0.0525 0.9475 0.7500  3 Br 2.65-2.69
Ag: 0.9475 0.0525 0.2500  3 Br 2.65-2.69
Ge: 0.5000 0.5000 0.0000  4 Br 2.42-2.51
Ge: 0.5000 0.5000 0.5000  4 Br 2.42-2.51
Br: 0.1117 0.6675 0.5057  1 Ge 2.51, 1 Ag 2.65
Br: 0.1642 0.5402 0.8671  1 Ge 2.42
Br: 0.3325 0.8883 0.9943  1 Ge 2.51, 1 Ag 2.65
Br: 0.3390 0.6610 0.2500  1 Ag 2.69, 2 Ge 2.76
Br: 0.4598 0.8358 0.6329  1 Ge 2.42
Br: 0.5402 0.1642 0.3671  1 Ge 2.42
Br: 0.6610 0.3390 0.7500  1 Ag 2.69, 2 Ge 2.76
Br: 0.6675 0.1117 0.0057  1 Ge 2.51, 1 Ag 2.65
Br: 0.8358 0.4598 0.1329  1 Ge 2.42
Br: 0.8883 0.3325 0.4943  1 Ge 2.51, 1 Ag 2.65

=====

Material: ZnGe2RuI
Method: DFT, PBE-GGA
State: optimized geometry

uncorrected formation energy: 1212 meV/atom

a = 4.7117 Å, b = 4.7117 Å, c = 5.5829 Å
α = 90.00°, β = 90.00°, γ = 90.00°
Closest atoms and distances in Å follow each position.
Fractional coordinates of all 5 atoms:
Zn: 0.0000 0.0000 0.0000  4 Ge 2.36
Ge: 0.0000 0.5000 0.0000  2 Zn 2.36
Ge: 0.5000 0.0000 0.0000  2 Zn 2.36
Ru: 0.5000 0.5000 0.5000  4 I 3.33, 8 Ge 3.65
I: 0.0000 0.0000 0.5000  2 Zn 2.79

=====

Material: HgTe4Pb5
Method: DFT, PBE-GGA
State: optimized geometry

uncorrected formation energy: -261 meV/atom

a = 16.5916 Å, b = 16.5916 Å, c = 16.5916 Å
α = 164.07°, β = 164.07°, γ = 22.61°
Closest atoms and distances in Å follow each position.
Fractional coordinates of all 10 atoms:
Hg: 0.0000 0.0000 0.0000  6 Pb 3.23-3.25
Te: 0.1977 0.1977 0.0000  6 Pb 3.20-3.32
Te: 0.3991 0.3991 0.0000  6 Pb 3.24-3.28
Te: 0.6009 0.6009 0.0000  6 Pb 3.24-3.28
Te: 0.8023 0.8023 0.0000  6 Pb 3.20-3.32
Pb: 0.0994 0.0994 0.0000  5 Te 3.20-3.25, 1 Hg 3.23
Pb: 0.2997 0.2997 0.0000  6 Te 3.24-3.32
Pb: 0.5000 0.5000 0.0000  4 Hg 3.25, 2 Te 3.28
Pb: 0.7003 0.7003 0.0000  6 Te 3.24-3.32
Pb: 0.9006 0.9006 0.0000  5 Te 3.20-3.25, 1 Hg 3.23

=====

Material: Sm2BeN
Method: DFT, PBE-GGA
State: optimized geometry

uncorrected formation energy: -61 meV/atom

a = 8.8898 Å, b = 8.8898 Å, c = 8.8898 Å
α = 22.79°, β = 22.79°, γ = 22.79°
Closest atoms and distances in Å follow each position.
Fractional coordinates of all 4 atoms:
Sm: 0.1146 0.1146 0.1146  3 N 2.44
Sm: 0.8854 0.8854 0.8854  3 N 2.44
Be: 0.0000 0.0000 0.0000  2 Sm 2.98
N: 0.5000 0.5000 0.5000  6 Sm 2.44

=====

Material: AcNd2Ho
Method: DFT, PBE-GGA
State: optimized geometry

relative energy among the computed polymorphs: 83 meV/atom
formation enthalpy at 0 K: 0.115 eV/atom

a = 4.2314 Å, b = 4.2314 Å, c = 8.2102 Å
α = 90.00°, β = 90.00°, γ = 90.00°
Closest atoms and distances in Å follow each position.
Fractional coordinates of all 4 atoms:
Ac: 0.0000 0.0000 0.0000  8 Nd 3.79, 2 Ho 4.11, 4 Ac 4.23
Nd: 0.5000 0.5000 0.2829  4 Ho 3.48, 1 Nd 3.56, 4 Ac 3.79
Nd: 0.5000 0.5000 0.7171  4 Ho 3.48, 1 Nd 3.56, 4 Ac 3.79
Ho: 0.0000 0.0000 0.5000  8 Nd 3.48

=====

Material: Pm14HoPu
Method: DFT, PBE-GGA
State: optimized geometry

formation enthalpy at 0 K: 0.042 eV/atom

a = 7.2663 Å, b = 7.2663 Å, c = 10.2272 Å
α = 90.00°, β = 90.00°, γ = 90.00°
Closest atoms and distances in Å follow each position.
Fractional coordinates of all 16 atoms:
Pm: 0.0000 0.0000 0.0000  12 Pm 3.63-3.65
Pm: 0.0000 0.5000 0.0000  12 Pm 3.63-3.65
Pm: 0.0000 0.5000 0.5000  8 Pm 3.60, 2 Ho 3.63, 2 Pu 3.63
Pm: 0.2488 0.2488 0.2541  1 Pu 3.59, 10 Pm 3.60-3.66, 1 Ho 3.60
Pm: 0.2488 0.2488 0.7459  1 Pu 3.59, 10 Pm 3.60-3.66, 1 Ho 3.60
Pm: 0.2488 0.7512 0.2541  1 Pu 3.59, 10 Pm 3.60-3.66, 1 Ho 3.60
Pm: 0.2488 0.7512 0.7459  1 Pu 3.59, 10 Pm 3.60-3.66, 1 Ho 3.60
Pm: 0.5000 0.0000 0.0000  12 Pm 3.63-3.65
Pm: 0.5000 0.0000 0.5000  8 Pm 3.60, 2 Ho 3.63, 2 Pu 3.63
Pm: 0.5000 0.5000 0.0000  12 Pm 3.63-3.66
Pm: 0.7512 0.2488 0.2541  1 Pu 3.59, 10 Pm 3.60-3.66, 1 Ho 3.60
Pm: 0.7512 0.2488 0.7459  1 Pu 3.59, 10 Pm 3.60-3.66, 1 Ho 3.60
Pm: 0.7512 0.7512 0.2541  1 Pu 3.59, 10 Pm 3.60-3.66, 1 Ho 3.60
Pm: 0.7512 0.7512 0.7459  1 Pu 3.59, 10 Pm 3.60-3.66, 1 Ho 3.60
Ho: 0.5000 0.5000 0.5000  12 Pm 3.60-3.63
Pu: 0.0000 0.0000 0.5000  12 Pm 3.59-3.63

=====

Material: LaZrNi
Method: DFT, PBE-GGA
State: optimized geometry

relative energy among the computed polymorphs: 291 meV/atom
formation enthalpy at 0 K: 0.168 eV/atom

a = 4.7115 Å, b = 4.7115 Å, c = 4.7115 Å
α = 60.00°, β = 60.00°, γ = 60.00°
Closest atoms and distances in Å follow each position.
Fractional coordinates of all 3 atoms:
La: 0.0000 0.0000 0.0000  4 Ni 2.89
Zr: 0.5000 0.5000 0.5000  4 Ni 2.89
Ni: 0.7500 0.7500 0.7500  4 Zr 2.89, 4 La 2.89